No. 1
Compound: Ac2Ho3Au2
Source: the Alexandria database
Functional: PBE
Structure: optimized geometry Values from VASP.

Quantum ESPRESSO input file:
```
&SYSTEM
  ibrav = 0, nat = 7, ntyp = 3
/
ATOMIC_SPECIES
Ac 227.00 Ac.upf
Ho 164.93 Ho.upf
Au 196.97 Au.upf
CELL_PARAMETERS angstrom
-2.188 0.696 3.128
1.759 -4.647 4.672
5.795 3.941 5.584
ATOMIC_POSITIONS crystal
Ac 0.152 0.505 0.192
Ac 0.848 0.495 0.808
Ho 0.500 0.000 0.000
Ho 0.381 0.792 0.446
Ho 0.619 0.208 0.554
Au 0.158 0.923 0.762
Au 0.842 0.077 0.238
```

Results
E_form in eV/atom: -0.485
Fermi-level density of states in states/eV per cell: 9.164
Space-group type: C2/m (12)

---

No. 2
Compound: UZnFeTc
Source: the Alexandria database
Functional: PBE
Structure: optimized geometry Values from VASP.

Quantum ESPRESSO input file:
```
&SYSTEM
  ibrav = 0, nat = 4, ntyp = 4
/
ATOMIC_SPECIES
Zn 65.41 Zn.upf
U 238.03 U.upf
Tc 98.00 Tc.upf
Fe 55.84 Fe.upf
CELL_PARAMETERS angstrom
-2.501 3.660 -0.510
-4.102 0.162 1.751
-0.830 2.641 3.500
ATOMIC_POSITIONS crystal
Zn 0.000 0.000 0.000
U 0.500 0.500 0.500
Tc 0.250 0.250 0.250
Fe 0.750 0.750 0.750
```

Results
E_form in eV/atom: 0.075
Fermi-level density of states in states/eV per cell: 6.844
Space-group type: F-43m (216)

---

Question: Among the records above, which one has the lowest E_form?
Answer: Ac2Ho3Au2

---

Question: E_form of number 2 (UZnFeTc)?
Answer: 0.075 eV/atom

---

Question: The highest Fermi-level density of states belongs to which entry?
Answer: Ac2Ho3Au2

---

Question: Among the records above, which one has the highest E_form?
Answer: UZnFeTc